Compound: Ru2AuSe
Source: Alexandria via LeMat-Bulk
Functional: GGA-PBE
Structure: optimized geometry

Output
Energy relative to the elements, uncorrected: 0.61 eV per atom

Unit cell a=2.917 b=2.917 c=8.754 alpha=90.00 beta=90.00 gamma=119.44
Fractional positions:
Se  0.500  0.500  0.250
Ru  0.000  0.000  0.475
Ru  0.000  0.000  0.025
Au  0.500  0.500  0.750

=====

Compound: RuAu2Se
Source: Alexandria via LeMat-Bulk
Functional: GGA-PBE
Structure: optimized geometry

Output
Energy relative to the elements, uncorrected: 0.48 eV per atom

Unit cell a=10.526 b=10.526 c=10.526 alpha=15.54 beta=15.54 gamma=15.54
Site moments in Bohr magnetons follow the coordinates.
Fractional positions:
Se  0.750  0.750  0.750  0.03
Au  0.992  0.992  0.992  0.07
Au  0.508  0.508  0.508  0.07
Ru  0.250  0.250  0.250  1.16

=====

Compound: RuAu2Se
Source: Alexandria via LeMat-Bulk
Functional: GGA-PBE
Structure: optimized geometry

Output
Energy relative to the elements, uncorrected: 0.52 eV per atom

Unit cell a=7.543 b=7.543 c=5.949 alpha=50.65 beta=50.65 gamma=90.00
Site moments in Bohr magnetons follow the coordinates.
Fractional positions:
Ru  0.000  0.000  0.000  1.44
Ru  0.750  0.250  0.500  1.42
Au  0.620  0.125  0.250  0.05
Au  0.130  0.625  0.250  0.05
Au  0.875  0.870  0.750  0.06
Au  0.375  0.380  0.750  0.05
Se  0.250  0.750  0.500  0.08
Se  0.500  0.500  0.000  0.09

=====

Compound: Ru2AuSe
Source: Alexandria via LeMat-Bulk
Functional: GGA-PBE
Structure: optimized geometry

Output
Energy relative to the elements, uncorrected: 0.33 eV per atom

Unit cell a=2.835 b=3.656 c=6.620 alpha=90.00 beta=90.00 gamma=90.00
Fractional positions:
Ru  0.000  0.000  0.045
Ru  0.500  0.500  0.233
Se  0.000  0.000  0.433
Au  0.500  0.500  0.789

=====

Compound: RuAu2Se
Source: Alexandria via LeMat-Bulk
Functional: GGA-PBE
Structure: optimized geometry

Output
Energy relative to the elements, uncorrected: 0.52 eV per atom

Unit cell a=4.616 b=4.616 c=4.616 alpha=60.00 beta=60.00 gamma=60.00
Site moments in Bohr magnetons follow the coordinates.
Fractional positions:
Ru  0.500  0.500  0.500  0.78
Au  0.250  0.250  0.250  0.03
Au  0.000  0.000  0.000  0.00
Se  0.750  0.750  0.750  -0.03

=====

Compound: RuAu2Se
Source: Alexandria via LeMat-Bulk
Functional: GGA-PBE
Structure: optimized geometry

Output
Energy relative to the elements, uncorrected: 0.11 eV per atom

Unit cell a=3.060 b=3.060 c=9.082 alpha=90.00 beta=90.00 gamma=60.00
Fractional positions:
Au  0.125  0.125  0.987
Au  0.792  0.792  0.731
Ru  0.458  0.458  0.482
Se  0.125  0.125  0.301